(1)
Material: MgInS2N
Method: DFT, PBE
State: relaxed

a = 4.9692 Å, b = 4.9692 Å, c = 3.9944 Å
α = 90.00°, β = 90.00°, γ = 90.00°
Last column: nearest neighbours and their distance in Å.
Sites, in units of the cell vectors:
Mg: 0.0000 0.0000 0.0000  2 N 2.00
In: 0.5000 0.5000 0.5000  8 S 3.19, 4 N 3.51
S: 0.0000 0.5000 0.0000  2 Mg 2.48
S: 0.5000 0.0000 0.0000  2 Mg 2.48
N: 0.0000 0.0000 0.5000  2 Mg 2.00

Calculated values
Calculated volume in A^3/atom: 19.7

***

(2)
Material: MgInS2N
Method: DFT, PBE
State: relaxed

a = 5.1419 Å, b = 5.1419 Å, c = 4.1694 Å
α = 90.00°, β = 90.00°, γ = 90.00°
Last column: nearest neighbours and their distance in Å.
Sites, in units of the cell vectors:
Mg: 0.0000 0.0000 0.0000  8 S 3.31, 4 N 3.64
In: 0.5000 0.5000 0.5000  2 N 2.08
S: 0.0000 0.5000 0.5000  2 In 2.57
S: 0.5000 0.0000 0.5000  2 In 2.57
N: 0.5000 0.5000 0.0000  2 In 2.08

Calculated values
Calculated volume in A^3/atom: 22.0

***

Which of them is the most stable? Correct choice: (1).

***

(1)
Material: MgInSN2
Method: DFT, PBE
State: relaxed

a = 4.1164 Å, b = 4.1164 Å, c = 5.1885 Å
α = 90.00°, β = 90.00°, γ = 90.00°
Last column: nearest neighbours and their distance in Å.
Sites, in units of the cell vectors:
Mg: 0.0000 0.0000 0.0000  4 N 2.06
In: 0.5000 0.5000 0.5000  4 S 2.91
S: 0.0000 0.0000 0.5000  2 Mg 2.59
N: 0.0000 0.5000 0.0000  2 Mg 2.06
N: 0.5000 0.0000 0.0000  2 Mg 2.06

Calculated values
Calculated volume in A^3/atom: 17.6

***

(2)
Material: MgInSN2
Method: DFT, PBE
State: relaxed

a = 4.1813 Å, b = 4.1813 Å, c = 5.4567 Å
α = 90.00°, β = 90.00°, γ = 90.00°
Last column: nearest neighbours and their distance in Å.
Sites, in units of the cell vectors:
Mg: 0.0000 0.0000 0.0000  4 S 2.96
In: 0.5000 0.5000 0.5000  4 N 2.09
S: 0.5000 0.5000 0.0000  2 In 2.73, 4 Mg 2.96
N: 0.0000 0.5000 0.5000  2 In 2.09
N: 0.5000 0.0000 0.5000  2 In 2.09

Calculated values
Calculated volume in A^3/atom: 19.1

***

Which of them is the most stable? Correct choice: (1).

***

(1)
Material: Mg2ScInN
Method: DFT, PBE
State: relaxed

a = 4.4386 Å, b = 4.4386 Å, c = 4.3891 Å
α = 90.00°, β = 90.00°, γ = 90.00°
Last column: nearest neighbours and their distance in Å.
Sites, in units of the cell vectors:
Mg: 0.0000 0.5000 0.0000  2 N 2.22
Mg: 0.5000 0.0000 0.0000  2 N 2.22
Sc: 0.0000 0.0000 0.5000  2 N 2.19
In: 0.5000 0.5000 0.5000  8 Mg 3.12, 4 Sc 3.14
N: 0.0000 0.0000 0.0000  2 Sc 2.19, 4 Mg 2.22

Calculated values
Calculated volume in A^3/atom: 17.3

***

(2)
Material: Mg2ScInN
Method: DFT, PBE
State: relaxed

a = 5.7996 Å, b = 5.7996 Å, c = 5.6821 Å
α = 90.00°, β = 90.00°, γ = 90.00°
Last column: nearest neighbours and their distance in Å.
Sites, in units of the cell vectors:
Mg: 0.0000 0.5000 0.0000  2 Sc 2.90
Mg: 0.5000 0.0000 0.0000  2 Sc 2.90
Sc: 0.0000 0.0000 0.0000  2 In 2.84, 4 Mg 2.90
In: 0.0000 0.0000 0.5000  2 Sc 2.84
N: 0.5000 0.5000 0.5000  8 Mg 4.06, 4 In 4.10

Calculated values
Calculated volume in A^3/atom: 38.2

***

Which of them is the most stable? Correct choice: (1).

***

(1)
Material: MgInSeN2
Method: DFT, PBE
State: relaxed

a = 4.2308 Å, b = 4.2308 Å, c = 5.9035 Å
α = 90.00°, β = 90.00°, γ = 90.00°
Last column: nearest neighbours and their distance in Å.
Sites, in units of the cell vectors:
Mg: 0.0000 0.0000 0.0000  4 Se 2.99
In: 0.5000 0.5000 0.5000  4 N 2.12
Se: 0.5000 0.5000 0.0000  2 In 2.95, 4 Mg 2.99
N: 0.0000 0.5000 0.5000  2 In 2.12
N: 0.5000 0.0000 0.5000  2 In 2.12

Calculated values
Calculated volume in A^3/atom: 21.1

***

(2)
Material: MgInSeN2
Method: DFT, PBE
State: relaxed

a = 4.1922 Å, b = 4.1922 Å, c = 5.4997 Å
α = 90.00°, β = 90.00°, γ = 90.00°
Last column: nearest neighbours and their distance in Å.
Sites, in units of the cell vectors:
Mg: 0.0000 0.0000 0.0000  4 N 2.10
In: 0.5000 0.5000 0.5000  4 Se 2.96
Se: 0.0000 0.0000 0.5000  2 Mg 2.75, 4 In 2.96
N: 0.0000 0.5000 0.0000  2 Mg 2.10
N: 0.5000 0.0000 0.0000  2 Mg 2.10

Calculated values
Calculated volume in A^3/atom: 19.3

***

Which of them is the most stable? Correct choice: (2).

***

(1)
Material: MgInTeN2
Method: DFT, PBE
State: relaxed

a = 4.2925 Å, b = 4.2925 Å, c = 6.2268 Å
α = 90.00°, β = 90.00°, γ = 90.00°
Last column: nearest neighbours and their distance in Å.
Sites, in units of the cell vectors:
Mg: 0.0000 0.0000 0.0000  4 Te 3.04
In: 0.5000 0.5000 0.5000  4 N 2.15
Te: 0.5000 0.5000 0.0000  4 Mg 3.04, 2 In 3.11
N: 0.0000 0.5000 0.5000  2 In 2.15
N: 0.5000 0.0000 0.5000  2 In 2.15

Calculated values
Calculated volume in A^3/atom: 22.9

***

(2)
Material: MgInTeN2
Method: DFT, PBE
State: relaxed

a = 4.3162 Å, b = 4.3162 Å, c = 5.9388 Å
α = 90.00°, β = 90.00°, γ = 90.00°
Last column: nearest neighbours and their distance in Å.
Sites, in units of the cell vectors:
Mg: 0.0000 0.0000 0.0000  4 N 2.16
In: 0.5000 0.5000 0.5000  4 Te 3.05
Te: 0.0000 0.0000 0.5000  2 Mg 2.97, 4 In 3.05
N: 0.0000 0.5000 0.0000  2 Mg 2.16
N: 0.5000 0.0000 0.0000  2 Mg 2.16

Calculated values
Calculated volume in A^3/atom: 22.1

***

Which of them is the most stable? Correct choice: (2).

***

(1)
Material: NaMg6In12
Method: DFT, PBE
State: relaxed

a = 8.6704 Å, b = 8.6704 Å, c = 8.6704 Å
α = 111.15°, β = 111.15°, γ = 111.15°
Last column: nearest neighbours and their distance in Å.
Sites, in units of the cell vectors:
Na: 0.0000 0.0000 0.0000  12 In 3.30-3.33
Mg: 0.0503 0.3566 0.5680  9 In 3.18-3.28, 3 Mg 3.29-3.36
Mg: 0.3566 0.5680 0.0503  9 In 3.18-3.28, 3 Mg 3.29-3.36
Mg: 0.4320 0.9497 0.6434  9 In 3.18-3.28, 3 Mg 3.29-3.36
Mg: 0.5680 0.0503 0.3566  9 In 3.18-3.28, 3 Mg 3.29-3.36
Mg: 0.6434 0.4320 0.9497  9 In 3.18-3.28, 3 Mg 3.29-3.36
Mg: 0.9497 0.6434 0.4320  9 In 3.18-3.28, 3 Mg 3.29-3.36
In: 0.1106 0.7406 0.1713  5 Mg 3.18-3.27, 6 In 3.19-3.36, 1 Na 3.33
In: 0.1713 0.1106 0.7406  5 Mg 3.18-3.27, 6 In 3.19-3.36, 1 Na 3.33
In: 0.2065 0.4792 0.3211  7 In 3.19-3.39, 4 Mg 3.20-3.28, 1 Na 3.30
In: 0.2594 0.8287 0.8894  5 Mg 3.18-3.27, 6 In 3.19-3.36, 1 Na 3.33
In: 0.3211 0.2065 0.4792  7 In 3.19-3.39, 4 Mg 3.20-3.28, 1 Na 3.30
In: 0.4792 0.3211 0.2065  7 In 3.19-3.39, 4 Mg 3.20-3.28, 1 Na 3.30
In: 0.5208 0.6789 0.7935  7 In 3.19-3.39, 4 Mg 3.20-3.28, 1 Na 3.30
In: 0.6789 0.7935 0.5208  7 In 3.19-3.39, 4 Mg 3.20-3.28, 1 Na 3.30
In: 0.7406 0.1713 0.1106  5 Mg 3.18-3.27, 6 In 3.19-3.36, 1 Na 3.33
In: 0.7935 0.5208 0.6789  7 In 3.19-3.39, 4 Mg 3.20-3.28, 1 Na 3.30
In: 0.8287 0.8894 0.2594  5 Mg 3.18-3.27, 6 In 3.19-3.36, 1 Na 3.33
In: 0.8894 0.2594 0.8287  5 Mg 3.18-3.27, 6 In 3.19-3.36, 1 Na 3.33

Calculated values
Calculated volume in A^3/atom: 24.6

***

(2)
Material: NaMg6In12
Method: DFT, PBE
State: relaxed

a = 8.5836 Å, b = 8.5836 Å, c = 8.5836 Å
α = 109.47°, β = 109.47°, γ = 109.47°
Last column: nearest neighbours and their distance in Å.
Sites, in units of the cell vectors:
Na: 0.0000 0.0000 0.0000  12 In 3.14
Mg: 0.1542 0.5000 0.6542  2 In 2.88, 1 Mg 3.06
Mg: 0.3458 0.8458 0.5000  2 In 2.88, 1 Mg 3.06
Mg: 0.5000 0.3458 0.8458  2 In 2.88, 1 Mg 3.06
Mg: 0.5000 0.6542 0.1542  2 In 2.88, 1 Mg 3.06
Mg: 0.6542 0.1542 0.5000  2 In 2.88, 1 Mg 3.06
Mg: 0.8458 0.5000 0.3458  2 In 2.88, 1 Mg 3.06
In: 0.0897 0.2645 0.8252  1 Mg 2.88, 1 Na 3.14
In: 0.1748 0.4393 0.2645  1 Mg 2.88, 1 Na 3.14
In: 0.1748 0.9103 0.7355  1 Mg 2.88, 1 Na 3.14
In: 0.2645 0.1748 0.4393  1 Mg 2.88, 1 Na 3.14
In: 0.2645 0.8252 0.0897  1 Mg 2.88, 1 Na 3.14
In: 0.4393 0.2645 0.1748  1 Mg 2.88, 1 Na 3.14
In: 0.5607 0.7355 0.8252  1 Mg 2.88, 1 Na 3.14
In: 0.7355 0.1748 0.9103  1 Mg 2.88, 1 Na 3.14
In: 0.7355 0.8252 0.5607  1 Mg 2.88, 1 Na 3.14
In: 0.8252 0.0897 0.2645  1 Mg 2.88, 1 Na 3.14
In: 0.8252 0.5607 0.7355  1 Mg 2.88, 1 Na 3.14
In: 0.9103 0.7355 0.1748  1 Mg 2.88, 1 Na 3.14

Calculated values
Calculated volume in A^3/atom: 25.6

***

Which of them is the most stable? Correct choice: (1).

***

(1)
Material: NaMgIn4
Method: DFT, PBE
State: relaxed

a = 6.1552 Å, b = 6.1552 Å, c = 6.1552 Å
α = 60.00°, β = 60.00°, γ = 60.00°
Last column: nearest neighbours and their distance in Å.
Sites, in units of the cell vectors:
Na: 0.0000 0.0000 0.0000  12 In 3.61, 4 Mg 3.77
Mg: 0.2500 0.2500 0.2500  12 In 3.61, 4 Na 3.77
In: 0.1255 0.6248 0.6248  6 In 3.07-3.08
In: 0.6248 0.1255 0.6248  6 In 3.07-3.08
In: 0.6248 0.6248 0.1255  6 In 3.07-3.08
In: 0.6248 0.6248 0.6248  6 In 3.07-3.08

Calculated values
Calculated volume in A^3/atom: 27.5

***

(2)
Material: NaMgIn4
Method: DFT, PBE
State: relaxed

a = 8.3072 Å, b = 8.3072 Å, c = 8.2231 Å
α = 90.00°, β = 90.00°, γ = 144.04°
Last column: nearest neighbours and their distance in Å.
Sites, in units of the cell vectors:
Na: 0.1260 0.8740 0.7500  5 In 3.02-3.34
Na: 0.8740 0.1260 0.2500  5 In 3.02-3.34
Mg: 0.3450 0.6550 0.7500  6 In 2.92-3.20
Mg: 0.6550 0.3450 0.2500  6 In 2.92-3.20
In: 0.0653 0.9347 0.2500  2 Mg 2.93, 1 Na 3.02
In: 0.2726 0.7274 0.0771  3 In 2.84-2.95, 1 Mg 2.92
In: 0.2726 0.7274 0.4229  3 In 2.84-2.95, 1 Mg 2.92
In: 0.5000 0.5000 0.0000  2 Mg 3.20, 4 In 3.44
In: 0.5000 0.5000 0.5000  2 Mg 3.20, 4 In 3.44
In: 0.7274 0.2726 0.5771  3 In 2.84-2.95, 1 Mg 2.92
In: 0.7274 0.2726 0.9229  3 In 2.84-2.95, 1 Mg 2.92
In: 0.9347 0.0653 0.7500  2 Mg 2.93, 1 Na 3.02

Calculated values
Calculated volume in A^3/atom: 27.8

***

(3)
Material: NaMgIn4
Method: DFT, PBE
State: relaxed

a = 14.4075 Å, b = 3.2503 Å, c = 6.7446 Å
α = 90.00°, β = 104.03°, γ = 90.00°
Last column: nearest neighbours and their distance in Å.
Sites, in units of the cell vectors:
Na: 0.0000 0.0000 0.0000  2 Na 3.25, 8 In 3.29-3.31, 2 Mg 3.37
Na: 0.5000 0.5000 0.0000  2 Na 3.25, 8 In 3.29-3.31, 2 Mg 3.37
Mg: 0.0000 0.0000 0.5000  2 Mg 3.25, 8 In 3.26-3.30, 2 Na 3.37
Mg: 0.5000 0.5000 0.5000  2 Mg 3.25, 8 In 3.26-3.30, 2 Na 3.37
In: 0.1645 0.5000 0.8275  8 In 3.25-3.41, 2 Mg 3.26, 2 Na 3.31
In: 0.1662 0.5000 0.3346  8 In 3.25-3.41, 2 Na 3.29, 2 Mg 3.30
In: 0.3338 0.0000 0.6654  8 In 3.25-3.41, 2 Na 3.29, 2 Mg 3.30
In: 0.3355 0.0000 0.1725  8 In 3.25-3.41, 2 Mg 3.26, 2 Na 3.31
In: 0.6645 0.0000 0.8275  8 In 3.25-3.41, 2 Mg 3.26, 2 Na 3.31
In: 0.6662 0.0000 0.3346  8 In 3.25-3.41, 2 Na 3.29, 2 Mg 3.30
In: 0.8338 0.5000 0.6654  8 In 3.25-3.41, 2 Na 3.29, 2 Mg 3.30
In: 0.8355 0.5000 0.1725  8 In 3.25-3.41, 2 Mg 3.26, 2 Na 3.31

Calculated values
Calculated volume in A^3/atom: 25.5

***

Which of them is the most stable? Correct choice: (3).

***

(1)
Material: NaMgIn
Method: DFT, PBE
State: relaxed

a = 3.9058 Å, b = 3.9058 Å, c = 10.0319 Å
α = 90.00°, β = 90.00°, γ = 90.00°
Last column: nearest neighbours and their distance in Å.
Sites, in units of the cell vectors:
Na: 0.0000 0.0000 0.0000  5 Mg 3.25-3.28, 5 In 3.25-3.30
Na: 0.5000 0.5000 0.5000  5 Mg 3.25-3.28, 5 In 3.25-3.30
Mg: 0.0000 0.0000 0.3238  5 In 3.16-3.48, 5 Na 3.25-3.28
Mg: 0.5000 0.5000 0.8238  5 In 3.16-3.48, 5 Na 3.25-3.28
In: 0.0000 0.0000 0.6711  5 Mg 3.16-3.48, 5 Na 3.25-3.30
In: 0.5000 0.5000 0.1711  5 Mg 3.16-3.48, 5 Na 3.25-3.30

Calculated values
Calculated volume in A^3/atom: 25.5

***

(2)
Material: NaMgIn
Method: DFT, PBE
State: relaxed

a = 8.5959 Å, b = 4.9847 Å, c = 8.3617 Å
α = 90.00°, β = 110.10°, γ = 90.00°
Last column: nearest neighbours and their distance in Å.
Sites, in units of the cell vectors:
Na: 0.2080 0.0000 0.1211  4 In 3.22-3.36, 3 Na 3.44-3.45, 1 Mg 3.60
Na: 0.2920 0.5000 0.8789  4 In 3.22-3.36, 3 Na 3.44-3.45, 1 Mg 3.60
Na: 0.7080 0.5000 0.1211  4 In 3.22-3.36, 3 Na 3.44-3.45, 1 Mg 3.60
Na: 0.7920 0.0000 0.8789  4 In 3.22-3.36, 3 Na 3.44-3.45, 1 Mg 3.60
Mg: 0.1406 0.5000 0.4206  3 In 3.01, 3 Mg 3.13
Mg: 0.3594 0.0000 0.5794  3 In 3.01, 3 Mg 3.13
Mg: 0.6406 0.0000 0.4206  3 In 3.01, 3 Mg 3.13
Mg: 0.8594 0.5000 0.5794  3 In 3.01, 3 Mg 3.13
In: 0.0639 0.0000 0.6938  3 Mg 3.01, 1 In 3.04, 4 Na 3.22-3.36
In: 0.4361 0.5000 0.3062  3 Mg 3.01, 1 In 3.04, 4 Na 3.22-3.36
In: 0.5639 0.5000 0.6938  3 Mg 3.01, 1 In 3.04, 4 Na 3.22-3.36
In: 0.9361 0.0000 0.3062  3 Mg 3.01, 1 In 3.04, 4 Na 3.22-3.36

Calculated values
Calculated volume in A^3/atom: 28.0

***

(3)
Material: NaMgIn
Method: DFT, PBE
State: relaxed

a = 7.1544 Å, b = 7.1544 Å, c = 7.1544 Å
α = 90.00°, β = 90.00°, γ = 90.00°
Last column: nearest neighbours and their distance in Å.
Sites, in units of the cell vectors:
Na: 0.0000 0.0000 0.0000  4 In 3.10
Na: 0.0000 0.5000 0.5000  4 In 3.10
Na: 0.5000 0.0000 0.5000  4 In 3.10
Na: 0.5000 0.5000 0.0000  4 In 3.10
Mg: 0.0000 0.0000 0.5000  4 In 3.10
Mg: 0.0000 0.5000 0.0000  4 In 3.10
Mg: 0.5000 0.0000 0.0000  4 In 3.10
Mg: 0.5000 0.5000 0.5000  4 In 3.10
In: 0.2500 0.2500 0.7500  4 Na 3.10, 4 Mg 3.10
In: 0.2500 0.7500 0.2500  4 Na 3.10, 4 Mg 3.10
In: 0.7500 0.2500 0.2500  4 Na 3.10, 4 Mg 3.10
In: 0.7500 0.7500 0.7500  4 Na 3.10, 4 Mg 3.10

Calculated values
Calculated volume in A^3/atom: 30.5

***

Which of them is the most stable? Correct choice: (2).